# 1
! CsCu2Te3 GGA-PBE optimized geometry; values from VASP
! Energy relative to the elements, uncorrected ... -7.82 kcal/mol of atoms
! SG ... Cmcm (63)
! Spin magnetization ... 0.00 μB/cell
! DOS(E_F) ... 0.6678 states/eV/atom
! VASP energy ... -41.01 eV per cell
&SYSTEM
  ibrav = 0, nat = 12, ntyp = 3
/
ATOMIC_SPECIES
Te 127.60 Te.upf
Cu 63.55 Cu.upf
Cs 132.91 Cs.upf
ATOMIC_POSITIONS crystal
Te 0.750 0.786 0.209
Te 0.250 0.104 0.208
Te 0.750 0.422 0.209
Te 0.750 0.896 0.792
Te 0.250 0.578 0.791
Te 0.250 0.214 0.791
Cu 0.000 0.833 0.000
Cu 0.500 0.833 0.000
Cu 0.500 0.167 0.000
Cu 0.000 0.167 0.000
Cs 0.750 0.328 0.656
Cs 0.250 0.672 0.344
CELL_PARAMETERS angstrom
-6.868 -2.352 -0.377
1.721 -5.809 4.899
-2.538 6.940 2.925

***

# 2
! TaOsSe2 GGA-PBE optimized geometry; values from VASP
! Energy relative to the elements, uncorrected ... 3.64 kcal/mol of atoms
! SG ... R-3m (166)
! Spin magnetization ... 0.00 μB/cell
! DOS(E_F) ... 0.8517 states/eV/atom
! VASP energy ... -29.42 eV per cell
&SYSTEM
  ibrav = 0, nat = 4, ntyp = 3
/
ATOMIC_SPECIES
Os 190.23 Os.upf
Se 78.96 Se.upf
Ta 180.95 Ta.upf
ATOMIC_POSITIONS crystal
Os 0.000 0.000 0.000
Se 0.906 0.906 0.906
Se 0.094 0.094 0.094
Ta 0.500 0.500 0.500
CELL_PARAMETERS angstrom
1.819 0.000 8.465
-0.910 1.576 8.465
-0.910 -1.576 8.465

***

# 3
! SrHf2TcSb GGA-PBE optimized geometry; values from VASP
! Energy relative to the elements, uncorrected ... 57.01 kcal/mol of atoms
! SG ... P4/mmm (123)
! Spin magnetization ... 0.02 μB/cell
! DOS(E_F) ... 1.4356 states/eV/atom
! VASP energy ... -23.72 eV per cell
&SYSTEM
  ibrav = 0, nat = 5, ntyp = 4
/
ATOMIC_SPECIES
Tc 98.00 Tc.upf
Hf 178.49 Hf.upf
Sb 121.76 Sb.upf
Sr 87.62 Sr.upf
ATOMIC_POSITIONS crystal
Tc 0.500 0.500 0.500
Hf 0.000 0.000 0.500
Hf 0.500 0.000 0.000
Sb 0.000 0.500 0.000
Sr 0.000 0.000 0.000
CELL_PARAMETERS angstrom
5.017 0.000 0.000
0.000 5.440 0.000
0.000 0.000 5.017

***

# 4
! Ca2AcTlN GGA-PBE optimized geometry; values from VASP
! Energy relative to the elements, uncorrected ... -15.60 kcal/mol of atoms
! SG ... P4/mmm (123)
! Spin magnetization ... 0.00 μB/cell
! DOS(E_F) ... 1.1195 states/eV/atom
! VASP energy ... -22.19 eV per cell
&SYSTEM
  ibrav = 0, nat = 5, ntyp = 4
/
ATOMIC_SPECIES
Ca 40.08 Ca.upf
Ac 227.00 Ac.upf
N 14.01 N.upf
Tl 204.38 Tl.upf
ATOMIC_POSITIONS crystal
Ca 0.000 0.000 0.500
Ca 0.000 0.500 0.000
Ac 0.500 0.000 0.000
N 0.000 0.000 0.000
Tl 0.500 0.500 0.500
CELL_PARAMETERS angstrom
5.335 0.000 0.000
0.000 4.983 0.000
0.000 0.000 4.983

***

# 5
! Sm8Dy3Ho4 GGA-PBE optimized geometry; values from VASP
! Formation energy ... 0.354 eV per atom
! SG ... C2/m (12)
! Spin magnetization ... 0.00 μB/cell
! DOS(E_F) ... 1.5722 states/eV/atom
! VASP energy ... -64.56 eV per cell
&SYSTEM
  ibrav = 0, nat = 15, ntyp = 3
/
ATOMIC_SPECIES
Sm 150.36 Sm.upf
Dy 162.50 Dy.upf
Ho 164.93 Ho.upf
ATOMIC_POSITIONS crystal
Sm 0.228 0.703 0.703
Sm 0.000 0.296 0.704
Sm 0.793 0.754 0.754
Sm 0.207 0.246 0.246
Sm 0.000 0.704 0.296
Sm 0.500 0.247 0.753
Sm 0.500 0.753 0.247
Sm 0.772 0.297 0.297
Dy 0.500 0.500 0.000
Dy 0.500 0.500 0.500
Dy 0.500 0.000 0.500
Ho 0.500 0.000 0.000
Ho 0.000 0.500 0.000
Ho 0.000 0.000 0.500
Ho 0.000 0.000 0.000
CELL_PARAMETERS angstrom
6.849 -0.147 -0.212
-3.382 8.491 1.604
-3.382 -1.444 8.520

***

# 6
! Li2AgPbF6 GGA-PBE optimized geometry; values from VASP
! Energy relative to the elements, uncorrected ... -50.85 kcal/mol of atoms
! SG ... C2/c (15)
! Spin magnetization ... 1.98 μB/cell
! VASP energy ... -87.33 eV per cell
&SYSTEM
  ibrav = 0, nat = 20, ntyp = 4
/
ATOMIC_SPECIES
F 19.00 F.upf
Li 6.94 Li.upf
Pb 207.20 Pb.upf
Ag 107.87 Ag.upf
ATOMIC_POSITIONS crystal
F 0.520 0.858 0.399
F 0.120 0.893 0.841
F 0.544 0.543 0.715
F 0.380 0.159 0.107
F 0.620 0.841 0.893
F 0.480 0.142 0.601
F 0.956 0.285 0.457
F 0.980 0.601 0.142
F 0.456 0.457 0.285
F 0.020 0.399 0.858
F 0.880 0.107 0.159
F 0.044 0.715 0.543
Li 0.562 0.141 0.313
Li 0.938 0.687 0.859
Li 0.062 0.313 0.141
Li 0.438 0.859 0.687
Pb 0.750 0.162 0.838
Pb 0.250 0.838 0.162
Ag 0.750 0.576 0.424
Ag 0.250 0.424 0.576
CELL_PARAMETERS angstrom
5.952 -0.040 -0.042
1.863 6.886 0.706
1.863 0.451 6.907

***

Question: Look up the spin magnetization of the third one.
Answer: 0.02 μB/cell

***

Question: What is the formula in the second record?
Answer: TaOsSe2